Entry 1:
HfPaAsO | PBE | optimized geometry

Summary:
Calculated volume = 147.9 Å³/cell
Energy above the lowest structure with this stoichiometry = 0.0 meV/atom
SG = No. 129
Total energy = -34.55 eV/f.u.

Cell lengths 4.1540, 4.1540, 8.5694 Å; angles 90.00, 90.00, 90.00 degrees
Sites, in units of the cell vectors:
O (0.7500, 0.2500, 0.0000)
Hf (0.2500, 0.2500, 0.0965)
Pa (0.2500, 0.7500, 0.5000)
Pa (0.7500, 0.2500, 0.5000)
As (0.7500, 0.7500, 0.2474)
Hf (0.7500, 0.7500, 0.9035)
As (0.2500, 0.2500, 0.7526)
O (0.2500, 0.7500, 0.0000)

=====

Entry 2:
ZnFeCuGe | PBE | optimized geometry

Summary:
Calculated volume = 51.6 Å³/cell
Energy above the lowest structure with this stoichiometry = 0.0 meV/atom
SG = No. 216
Total energy = -17.54 eV/f.u.

Cell lengths 4.1784, 4.1784, 4.1784 Å; angles 60.00, 60.00, 60.00 degrees
Site moments in Bohr magnetons follow the coordinates.
Sites, in units of the cell vectors:
Cu (0.7500, 0.7500, 0.7500)  0.03
Ge (0.0000, 0.0000, 0.0000)  -0.02
Fe (0.2500, 0.2500, 0.2500)  1.82
Zn (0.5000, 0.5000, 0.5000)  -0.02

=====

What is the energy above the lowest structure with this stoichiometry in the first record?
0.0 meV/atom